*i*
Ca2NbCo2, optimized geometry, DFT PBE-GGA; total magnetic moment = 1.54 μB per cell
1.0
4.640 0.000 0.000
0.000 4.640 0.000
2.320 2.320 4.542
Ca Co Nb
2 2 1
Direct
0.357 0.357 0.286
0.643 0.643 0.714
0.750 0.250 0.500
0.250 0.750 0.500
0.000 0.000 0.000


*ii*
Ca2NbCo2, optimized geometry, DFT PBE-GGA; total magnetic moment = 2.60 μB per cell
1.0
8.062 0.000 0.000
0.000 8.062 0.000
0.000 0.000 2.835
Ca Nb Co
4 2 4
Direct
0.371 0.871 0.000
0.129 0.371 0.000
0.871 0.629 0.000
0.629 0.129 0.000
0.000 0.000 0.000
0.500 0.500 0.000
0.321 0.179 0.500
0.179 0.679 0.500
0.679 0.821 0.500
0.821 0.321 0.500


What should be chosen as the least stable of them? Choose *i*.


*i*
CaNb2Co, optimized geometry, DFT PBE-GGA; total magnetic moment = 0.00 μB per cell
1.0
4.890 0.000 0.000
0.000 4.890 0.000
2.445 2.445 8.465
Nb Co Ca
4 2 2
Direct
0.375 0.172 0.750
0.875 0.078 0.750
0.922 0.625 0.250
0.828 0.125 0.250
0.000 0.000 0.000
0.750 0.250 0.500
0.500 0.500 0.000
0.250 0.750 0.500


*ii*
CaNb2Co, optimized geometry, DFT PBE-GGA; total magnetic moment = 0.00 μB per cell
1.0
1.039 -2.277 3.867
-2.276 0.921 3.898
-2.958 -3.082 1.724
Co Nb Ca
1 2 1
Direct
0.500 0.500 0.500
0.750 0.750 0.750
0.250 0.250 0.250
0.000 0.000 0.000


What should be chosen as the least stable of them? Choose *i*.


*i*
CaNb3Co, optimized geometry, DFT PBE-GGA; total magnetic moment = 0.00 μB per cell
1.0
4.741 0.000 0.000
0.000 4.741 0.000
0.000 0.000 4.741
Nb Co Ca
3 1 1
Direct
0.500 0.000 0.000
0.000 0.500 0.000
0.000 0.000 0.500
0.000 0.000 0.000
0.500 0.500 0.500


*ii*
CaNb3Co, optimized geometry, DFT PBE-GGA; total magnetic moment = 0.00 μB per cell
1.0
-1.491 -0.878 4.321
3.106 -3.446 0.372
3.129 3.003 1.689
Co Nb Ca
1 3 1
Direct
0.500 0.500 0.500
0.500 0.000 0.000
0.000 0.500 0.000
0.000 0.000 0.500
0.000 0.000 0.000


What should be chosen as the least stable of them? Choose *ii*.